Record 1
This record from Alexandria describes a relaxed structure of NbAlCu. The functional is PBE-GGA.

```
data_NbAlCu
_space_group_name_H-M_alt 'P -6 m 2'
_space_group_IT_number 187
_space_group_name_Hall 'P -6 2'
_cell_length_a 4.1989
_cell_length_b 4.1989
_cell_length_c 3.0144
_cell_angle_alpha 90.00
_cell_angle_beta 90.00
_cell_angle_gamma 120.00
loop_
_atom_site_label
_atom_site_type_symbol
_atom_site_fract_x
_atom_site_fract_y
_atom_site_fract_z
_atom_site_occupancy
Nb1 Nb 0.0000 0.0000 0.0000 1
Al1 Al 0.6667 0.3333 0.5000 1
Cu1 Cu 0.3333 0.6667 0.5000 1
```

Output
DOS(E_F), states/eV/atom: 0.5179
Formation energy from the elements, eV/atom: -0.177
Size of the total moment, μB per cell: 0.0
Crystal system: hexagonal

=====

Record 2
This record from Alexandria describes a relaxed structure of Nb2AlCuPt. The functional is PBE-GGA.

```
data_Nb2AlCuPt
_space_group_name_H-M_alt 'P 4/m m m'
_space_group_IT_number 123
_space_group_name_Hall '-P 4 2'
_cell_length_a 4.591
_cell_length_b 4.591
_cell_length_c 4.587
_cell_angle_alpha 90.00
_cell_angle_beta 90.00
_cell_angle_gamma 90.00
loop_
_atom_site_label
_atom_site_type_symbol
_atom_site_fract_x
_atom_site_fract_y
_atom_site_fract_z
_atom_site_occupancy
Nb1 Nb 0.000 0.500 0.000 1
Al1 Al 0.000 0.000 0.500 1
Cu1 Cu 0.500 0.500 0.000 1
Pt1 Pt 0.500 0.500 0.500 1
```

Output
DOS(E_F), states/eV/atom: 0.6214
Formation energy from the elements, eV/atom: 0.776
Size of the total moment, μB per cell: 0.0
Crystal system: tetragonal